## Ca2ZnCl (GGA-PBE)

Data for an optimized crystal structure of Ca2ZnCl.

```
Ca2ZnCl
1.0
0.000 3.933 3.933
3.933 0.000 3.933
3.933 3.933 0.000
Ca Zn Cl
2 1 1
Direct
0.000 0.000 0.000
0.250 0.250 0.250
0.500 0.500 0.500
0.750 0.750 0.750
```

## Properties
- formation energy without anion corrections (meV per atom) = -154
- energy above the lowest structure with this stoichiometry (meV/atom) = 757
- space group = F-43m (216)